*a*
A plane-wave DFT calculation with PBE-GGA was carried out for a relaxed La2NbPt crystal.

Symmetry ... No. 225
Total moment ... 2.45 μB/f.u.
Calculated density ... 9.3 g/cm³

```
data_La2NbPt
_cell_length_a 5.2367
_cell_length_b 5.2367
_cell_length_c 5.2367
_cell_angle_alpha 60.00
_cell_angle_beta 60.00
_cell_angle_gamma 60.00
_space_group_name_H-M_alt 'P 1'
_space_group_IT_number 1
loop_
_space_group_symop_operation_xyz
'x,y,z'
loop_
_atom_site_label
_atom_site_type_symbol
_atom_site_fract_x
_atom_site_fract_y
_atom_site_fract_z
La1 La 0.7500 0.7500 0.7500
La2 La 0.2500 0.2500 0.2500
Nb1 Nb 0.0000 0.0000 0.0000
Pt1 Pt 0.5000 0.5000 0.5000
```

***

*b*
A plane-wave DFT calculation with PBE-GGA was carried out for a relaxed La2NbPt crystal.

Symmetry ... No. 122
Total moment ... 1.31 μB/f.u.
Calculated density ... 9.0 g/cm³

```
data_La2NbPt
_cell_length_a 8.1367
_cell_length_b 8.1367
_cell_length_c 6.5547
_cell_angle_alpha 51.63
_cell_angle_beta 51.63
_cell_angle_gamma 90.00
_space_group_name_H-M_alt 'P 1'
_space_group_IT_number 1
loop_
_space_group_symop_operation_xyz
'x,y,z'
loop_
_atom_site_label
_atom_site_type_symbol
_atom_site_fract_x
_atom_site_fract_y
_atom_site_fract_z
Pt1 Pt 0.0000 0.0000 0.0000
Pt2 Pt 0.7500 0.2500 0.5000
La1 La 0.3750 0.3523 0.7500
La2 La 0.6477 0.1250 0.2500
La3 La 0.8750 0.8977 0.7500
La4 La 0.1023 0.6250 0.2500
Nb1 Nb 0.2500 0.7500 0.5000
Nb2 Nb 0.5000 0.5000 0.0000
```

***

Unit: eV/atom. Relative energies: *a* 0.000; *b* 0.135.

***

*a*
A plane-wave DFT calculation with PBE-GGA was carried out for a relaxed SrLaNb2Pt crystal.

Symmetry ... No. 123
Total moment ... 0.00 μB/f.u.
Calculated density ... 7.4 g/cm³

```
data_SrLaNb2Pt
_cell_length_a 4.8689
_cell_length_b 5.7827
_cell_length_c 4.8689
_cell_angle_alpha 90.00
_cell_angle_beta 90.00
_cell_angle_gamma 90.00
_space_group_name_H-M_alt 'P 1'
_space_group_IT_number 1
loop_
_space_group_symop_operation_xyz
'x,y,z'
loop_
_atom_site_label
_atom_site_type_symbol
_atom_site_fract_x
_atom_site_fract_y
_atom_site_fract_z
Nb1 Nb 0.0000 0.0000 0.5000
Nb2 Nb 0.5000 0.0000 0.0000
Sr1 Sr 0.0000 0.5000 0.0000
Pt1 Pt 0.5000 0.5000 0.5000
La1 La 0.0000 0.0000 0.0000
```

***

*b*
A plane-wave DFT calculation with PBE-GGA was carried out for a relaxed SrLaNb2Pt crystal.

Symmetry ... No. 123
Total moment ... 0.00 μB/f.u.
Calculated density ... 7.5 g/cm³

```
data_SrLaNb2Pt
_cell_length_a 5.0449
_cell_length_b 5.2975
_cell_length_c 5.0449
_cell_angle_alpha 90.00
_cell_angle_beta 90.00
_cell_angle_gamma 90.00
_space_group_name_H-M_alt 'P 1'
_space_group_IT_number 1
loop_
_space_group_symop_operation_xyz
'x,y,z'
loop_
_atom_site_label
_atom_site_type_symbol
_atom_site_fract_x
_atom_site_fract_y
_atom_site_fract_z
Nb1 Nb 0.5000 0.0000 0.0000
Nb2 Nb 0.0000 0.0000 0.5000
Pt1 Pt 0.0000 0.5000 0.0000
Sr1 Sr 0.0000 0.0000 0.0000
La1 La 0.5000 0.5000 0.5000
```

***

Unit: eV/atom. Relative energies: *a* 0.025; *b* 0.000.

***

*a*
A plane-wave DFT calculation with PBE-GGA was carried out for a relaxed RbLa3Nb crystal.

Symmetry ... No. 221
Total moment ... 0.00 μB/f.u.
Calculated density ... 5.7 g/cm³

```
data_RbLa3Nb
_cell_length_a 5.5770
_cell_length_b 5.5770
_cell_length_c 5.5770
_cell_angle_alpha 90.00
_cell_angle_beta 90.00
_cell_angle_gamma 90.00
_space_group_name_H-M_alt 'P 1'
_space_group_IT_number 1
loop_
_space_group_symop_operation_xyz
'x,y,z'
loop_
_atom_site_label
_atom_site_type_symbol
_atom_site_fract_x
_atom_site_fract_y
_atom_site_fract_z
Nb1 Nb 0.5000 0.5000 0.5000
La1 La 0.0000 0.0000 0.5000
La2 La 0.5000 0.0000 0.0000
La3 La 0.0000 0.5000 0.0000
Rb1 Rb 0.0000 0.0000 0.0000
```

***

*b*
A plane-wave DFT calculation with PBE-GGA was carried out for a relaxed RbLa3Nb crystal.

Symmetry ... No. 221
Total moment ... 0.00 μB/f.u.
Calculated density ... 4.9 g/cm³

```
data_RbLa3Nb
_cell_length_a 5.8494
_cell_length_b 5.8494
_cell_length_c 5.8494
_cell_angle_alpha 90.00
_cell_angle_beta 90.00
_cell_angle_gamma 90.00
_space_group_name_H-M_alt 'P 1'
_space_group_IT_number 1
loop_
_space_group_symop_operation_xyz
'x,y,z'
loop_
_atom_site_label
_atom_site_type_symbol
_atom_site_fract_x
_atom_site_fract_y
_atom_site_fract_z
La1 La 0.0000 0.0000 0.5000
La2 La 0.5000 0.0000 0.0000
La3 La 0.0000 0.5000 0.0000
Rb1 Rb 0.5000 0.5000 0.5000
Nb1 Nb 0.0000 0.0000 0.0000
```

***

Unit: eV/atom. Relative energies: *a* 1.210; *b* 0.000.

***

*a*
A plane-wave DFT calculation with PBE-GGA was carried out for a relaxed LaNb2Rh2 crystal.

Symmetry ... No. 139
Total moment ... 0.00 μB/f.u.
Calculated density ... 8.2 g/cm³

```
data_LaNb2Rh2
_cell_length_a 4.5146
_cell_length_b 4.5146
_cell_length_c 6.1426
_cell_angle_alpha 68.44
_cell_angle_beta 68.44
_cell_angle_gamma 90.00
_space_group_name_H-M_alt 'P 1'
_space_group_IT_number 1
loop_
_space_group_symop_operation_xyz
'x,y,z'
loop_
_atom_site_label
_atom_site_type_symbol
_atom_site_fract_x
_atom_site_fract_y
_atom_site_fract_z
Nb1 Nb 0.2500 0.7500 0.5000
Nb2 Nb 0.7500 0.2500 0.5000
Rh1 Rh 0.3704 0.3704 0.2592
Rh2 Rh 0.6296 0.6296 0.7408
La1 La 0.0000 0.0000 0.0000
```

***

*b*
A plane-wave DFT calculation with PBE-GGA was carried out for a relaxed LaNb2Rh2 crystal.

Symmetry ... No. 139
Total moment ... 0.00 μB/f.u.
Calculated density ... 8.2 g/cm³

```
data_LaNb2Rh2
_cell_length_a 4.7014
_cell_length_b 4.7014
_cell_length_c 5.9113
_cell_angle_alpha 66.57
_cell_angle_beta 66.57
_cell_angle_gamma 90.00
_space_group_name_H-M_alt 'P 1'
_space_group_IT_number 1
loop_
_space_group_symop_operation_xyz
'x,y,z'
loop_
_atom_site_label
_atom_site_type_symbol
_atom_site_fract_x
_atom_site_fract_y
_atom_site_fract_z
Rh1 Rh 0.2500 0.7500 0.5000
Rh2 Rh 0.7500 0.2500 0.5000
La1 La 0.0000 0.0000 0.0000
Nb1 Nb 0.3619 0.3619 0.2763
Nb2 Nb 0.6381 0.6381 0.7237
```

***

*c*
A plane-wave DFT calculation with PBE-GGA was carried out for a relaxed LaNb2Rh2 crystal.

Symmetry ... No. 127
Total moment ... 0.00 μB/f.u.
Calculated density ... 9.4 g/cm³

```
data_LaNb2Rh2
_cell_length_a 7.9961
_cell_length_b 7.9961
_cell_length_c 2.9381
_cell_angle_alpha 90.00
_cell_angle_beta 90.00
_cell_angle_gamma 90.00
_space_group_name_H-M_alt 'P 1'
_space_group_IT_number 1
loop_
_space_group_symop_operation_xyz
'x,y,z'
loop_
_atom_site_label
_atom_site_type_symbol
_atom_site_fract_x
_atom_site_fract_y
_atom_site_fract_z
La1 La 0.0000 0.0000 0.0000
La2 La 0.5000 0.5000 0.0000
Rh1 Rh 0.1362 0.6362 0.5000
Rh2 Rh 0.6362 0.8638 0.5000
Rh3 Rh 0.8638 0.3638 0.5000
Rh4 Rh 0.3638 0.1362 0.5000
Nb1 Nb 0.3454 0.8454 0.0000
Nb2 Nb 0.1546 0.3454 0.0000
Nb3 Nb 0.6546 0.1546 0.0000
Nb4 Nb 0.8454 0.6546 0.0000
```

***

Unit: eV/atom. Relative energies: *a* 0.000; *b* 0.226; *c* 0.154.